NiSbPO2: relaxed, PBE+U.

Calculated values
E above lowest polymorph = 0 meV/atom

CIF file:
```
data_NiSbPO2
_chemical_formula_sum 'Ni1 Sb1 P1 O2'
_cell_length_a 3.864
_cell_length_b 3.864
_cell_length_c 5.369
_cell_angle_alpha 90.00
_cell_angle_beta 90.00
_cell_angle_gamma 90.00
_space_group_name_H-M_alt 'P 4/m m m'
_space_group_IT_number 123
_space_group_name_Hall '-P 4 2'
loop_
_atom_site_label
_atom_site_type_symbol
_atom_site_fract_x
_atom_site_fract_y
_atom_site_fract_z
Ni1 Ni 0.000 0.000 0.000
Sb1 Sb 0.500 0.500 0.500
P1 P 0.500 0.500 0.000
O1 O 0.000 0.500 0.500
```